(1)
Ga2Cu2Hg | GGA-PBE | relaxed

Properties
Crystal system = tetragonal
Calculated formation energy = 0.0734 eV per atom
Relative energy among the computed polymorphs = 0 meV/atom
Space group = P4/mbm

a = 7.763 Å, b = 7.763 Å, c = 2.734 Å
α = 90.00°, β = 90.00°, γ = 90.00°
Element x y z (fractional)
Ga 0.124 0.376 0.000
Ga 0.376 0.876 0.000
Ga 0.624 0.124 0.000
Ga 0.876 0.624 0.000
Cu 0.174 0.674 0.500
Cu 0.326 0.174 0.500
Cu 0.674 0.826 0.500
Cu 0.826 0.326 0.500
Hg 0.000 0.000 0.000
Hg 0.500 0.500 0.000



(2)
Ca2As2Pb | GGA-PBE | relaxed

Properties
Crystal system = tetragonal
Calculated formation energy = -0.7697 eV per atom
Relative energy among the computed polymorphs = 0 meV/atom
Space group = P4/mbm

a = 8.530 Å, b = 8.530 Å, c = 3.581 Å
α = 90.00°, β = 90.00°, γ = 90.00°
Element x y z (fractional)
Ca 0.141 0.359 0.000
Ca 0.359 0.859 0.000
Ca 0.641 0.141 0.000
Ca 0.859 0.641 0.000
As 0.159 0.659 0.500
As 0.341 0.159 0.500
As 0.659 0.841 0.500
As 0.841 0.341 0.500
Pb 0.000 0.000 0.500
Pb 0.500 0.500 0.500



(3)
La2AgAsIr | GGA-PBE | relaxed

Properties
Crystal system = tetragonal
Calculated formation energy = -0.2282 eV per atom
Space group = P4/mmm

a = 5.732 Å, b = 5.732 Å, c = 4.531 Å
α = 90.00°, β = 90.00°, γ = 90.00°
Element x y z (fractional)
La 0.000 0.500 0.000
La 0.500 0.000 0.000
Ag 0.000 0.000 0.500
As 0.500 0.500 0.000
Ir 0.500 0.500 0.500



Number 1: E_tot -28.4 eV for the cell shown, size of the total moment 0.000 μB per atom. Number 2: E_tot -41.7 eV for the cell shown, size of the total moment 0.000 μB per atom. Number 3: E_tot -27.4 eV for the cell shown, size of the total moment 0.000 μB per atom.